Entry 1:
Pm6Pr2In | GGA-PBE | relaxed

Properties
final energy = -0.167 Ha/atom
E above lowest polymorph = 79 meV/atom
magnetization = 0.0 Bohr magnetons per cell
energy of formation = -0.0041 eV per atom

a = 17.2091 Å, b = 9.9252 Å, c = 3.4706 Å
α = 90.00°, β = 90.01°, γ = 90.00°
Last column: nearest neighbours and their distance in Å.
Space group C2/m (No. 12)
Symmetry-distinct sites (fractional):
Pm  0.0000  0.1772  0.0000 x4  5 Pm 3.21-3.52
Pm  0.1620  0.3377  0.9972 x8  5 Pm 3.21-3.49
Pr  0.1667  0.0000  0.4999 x4  2 Pr 3.47, 12 Pm 3.77-3.79
In  0.0000  0.5000  0.5000 x2  2 In 3.47, 12 Pm 3.64-3.66

Entry 2:
Pm2Pr6In | GGA-PBE | relaxed

Properties
final energy = -0.170 Ha/atom
E above lowest polymorph = 0 meV/atom
magnetization = 0.0 Bohr magnetons per cell
energy of formation = -0.0681 eV per atom

a = 10.9934 Å, b = 10.9934 Å, c = 5.0858 Å
α = 90.00°, β = 90.00°, γ = 90.00°
Last column: nearest neighbours and their distance in Å.
Space group P4_2/mnm (No. 136)
Symmetry-distinct sites (fractional):
Pm  0.1608  0.1608  0.0000 x4  10 Pr 3.53-3.77, 2 In 3.57
Pr  0.0000  0.3313  0.5000 x8  3 Pm 3.62-3.73, 8 Pr 3.62-3.74, 1 In 3.64
Pr  0.1600  0.8400  0.0000 x4  4 Pm 3.53-3.77, 2 In 3.56, 6 Pr 3.62-3.74
In  0.0000  0.0000  0.5000 x2  8 Pr 3.56-3.64, 4 Pm 3.57

Entry 3:
PmPr2In3 | GGA-PBE | relaxed

Properties
final energy = -0.156 Ha/atom
E above lowest polymorph = 0 meV/atom
magnetization = 0.0 Bohr magnetons per cell
energy of formation = -0.4962 eV per atom

a = 5.4954 Å, b = 16.4888 Å, c = 7.7721 Å
α = 90.00°, β = 90.00°, γ = 90.00°
Last column: nearest neighbours and their distance in Å.
Space group Cmmm (No. 65)
Symmetry-distinct sites (fractional):
Pm  0.0000  0.1668  0.0000 x4  8 In 3.33-3.35
Pr  0.0000  0.1657  0.5000 x4  8 In 3.37-3.38
Pr  0.0000  0.5000  0.0000 x2  8 In 3.35-3.37
Pr  0.0000  0.5000  0.5000 x2  8 In 3.38-3.40
In  0.0000  0.0000  0.2460 x4  6 Pr 3.35-3.38, 2 Pm 3.35
In  0.0000  0.3321  0.2462 x8  3 Pm 3.33-3.35, 5 Pr 3.37-3.40